First-principles (GGA-PBE) data for crystalline Mg2ZrTiN at its relaxed geometry, as listed in Alexandria via LeMat-Bulk.

Cell lengths 4.3238, 4.5588, 4.3238 Å; angles 90.00, 90.00, 90.00 degrees
Closest atoms and distances in Å follow each position.
Fractional positions:
1 Mg 0.0000 0.0000 0.5000  2 N 2.16
2 Mg 0.5000 0.0000 0.0000  2 N 2.16
3 Ti 0.5000 0.5000 0.5000  4 Zr 3.06, 8 Mg 3.14
4 N 0.0000 0.0000 0.0000  4 Mg 2.16, 2 Zr 2.28
5 Zr 0.0000 0.5000 0.0000  2 N 2.28

Values from the calculation:
- space group = P4/mmm
- formation energy without anion corrections (kJ/mol of atoms) = -11.77
- uncorrected energy (eV/cell) = -28.568


First-principles (GGA-PBE) data for crystalline MgTl3N at its relaxed geometry, as listed in Alexandria via LeMat-Bulk.

Cell lengths 5.4524, 5.4524, 5.4524 Å; angles 90.00, 90.00, 90.00 degrees
Closest atoms and distances in Å follow each position.
Fractional positions:
1 Tl 0.0000 0.0000 0.5000  2 Mg 2.73
2 Tl 0.0000 0.5000 0.0000  2 Mg 2.73
3 Tl 0.5000 0.0000 0.0000  2 Mg 2.73
4 N 0.5000 0.5000 0.5000  12 Tl 3.86
5 Mg 0.0000 0.0000 0.0000  6 Tl 2.73

Values from the calculation:
- distance to the lowest polymorph of the same formula (eV/atom) = 0.721
- space group = Pm-3m
- formation energy without anion corrections (kJ/mol of atoms) = 132.29
- uncorrected energy (eV/cell) = -10.163